1.
! HfMnAu2 GGA-PBE relaxed; values from VASP
! DFT total energy   -6.6710 eV per atom
! Total magnetization   3.49 μB/cell
! E_form   -0.25 eV/atom
! Crystal system   tetragonal
&SYSTEM
  ibrav = 0, nat = 4, ntyp = 3
/
ATOMIC_SPECIES
Au 196.97 Au.upf
Mn 54.94 Mn.upf
Hf 178.49 Hf.upf
ATOMIC_POSITIONS crystal
Au 0.000 0.000 0.228
Mn 0.500 0.500 0.000
Hf 0.500 0.500 0.500
Au 0.000 0.000 0.772
CELL_PARAMETERS angstrom
3.258 0.000 0.000
0.000 3.258 0.000
0.000 0.000 6.775



2.
! HfMnAu GGA-PBE relaxed; values from VASP
! DFT total energy   -7.6180 eV per atom
! Total magnetization   5.84 μB/cell
! E_form   -0.15 eV/atom
! Crystal system   tetragonal
&SYSTEM
  ibrav = 0, nat = 6, ntyp = 3
/
ATOMIC_SPECIES
Mn 54.94 Mn.upf
Hf 178.49 Hf.upf
Au 196.97 Au.upf
ATOMIC_POSITIONS crystal
Mn 0.836 0.836 0.500
Hf 0.836 0.336 0.168
Mn 0.336 0.336 0.500
Hf 0.336 0.836 0.832
Au 0.336 0.836 0.230
Au 0.836 0.336 0.770
CELL_PARAMETERS angstrom
-3.641 1.245 -0.902
-1.505 -2.419 2.739
0.551 5.088 4.795



3.
! Hf2MnPtAu GGA-PBE relaxed; values from VASP
! DFT total energy   -7.2811 eV per atom
! Total magnetization   0.81 μB/cell
! E_form   0.40 eV/atom
! Crystal system   tetragonal
&SYSTEM
  ibrav = 0, nat = 5, ntyp = 4
/
ATOMIC_SPECIES
Hf 178.49 Hf.upf
Pt 195.08 Pt.upf
Au 196.97 Au.upf
Mn 54.94 Mn.upf
ATOMIC_POSITIONS crystal
Hf 0.500 0.000 0.000
Pt 0.500 0.500 0.500
Hf 0.000 0.000 0.500
Au 0.000 0.500 0.000
Mn 0.000 0.000 0.000
CELL_PARAMETERS angstrom
4.631 0.000 0.000
0.000 4.693 0.000
0.000 0.000 4.631



4.
! Hf2MnReAu GGA-PBE relaxed; values from VASP
! DFT total energy   -7.5535 eV per atom
! Total magnetization   0.04 μB/cell
! E_form   1.41 eV/atom
! Crystal system   tetragonal
&SYSTEM
  ibrav = 0, nat = 5, ntyp = 4
/
ATOMIC_SPECIES
Hf 178.49 Hf.upf
Au 196.97 Au.upf
Mn 54.94 Mn.upf
Re 186.21 Re.upf
ATOMIC_POSITIONS crystal
Hf 0.000 0.000 0.500
Hf 0.500 0.000 0.000
Au 0.000 0.500 0.000
Mn 0.500 0.500 0.500
Re 0.000 0.000 0.000
CELL_PARAMETERS angstrom
4.926 0.000 0.000
0.000 5.043 0.000
0.000 0.000 4.926



Number 1: DOS(E_F) 2.9 states/eV/f.u.. Number 2: DOS(E_F) 3.4 states/eV/f.u.. Number 3: DOS(E_F) 4.2 states/eV/f.u.. Number 4: DOS(E_F) 9.0 states/eV/f.u..